The following is a DFT calculation (PBE-GGA) of a geometry-optimized Li2MgHg structure.

Geometry as CIF:
```
data_Li2MgHg
_symmetry_space_group_name_H-M 'I m m 2'
_symmetry_Int_Tables_number 44
_symmetry_space_group_name_Hall 'I 2 -2'
_cell_length_a 4.314
_cell_length_b 4.333
_cell_length_c 7.972
_cell_angle_alpha 90.00
_cell_angle_beta 90.00
_cell_angle_gamma 90.00
loop_
_atom_site_label
_atom_site_type_symbol
_atom_site_fract_x
_atom_site_fract_y
_atom_site_fract_z
Li1 Li 0.000 0.000 0.000
Li2 Li 0.000 0.500 0.250
Mg1 Mg 0.000 0.500 0.750
Hg1 Hg 0.000 0.000 0.500
```

Output
Formation energy, eV/atom: -0.2737

The following is a DFT calculation (PBE-GGA) of a geometry-optimized SmHo2In2 structure.

Geometry as CIF:
```
data_SmHo2In2
_symmetry_space_group_name_H-M 'P -3 m 1'
_symmetry_Int_Tables_number 164
_symmetry_space_group_name_Hall '-P 3 2"'
_cell_length_a 5.2522
_cell_length_b 5.2522
_cell_length_c 6.4796
_cell_angle_alpha 90.00
_cell_angle_beta 90.00
_cell_angle_gamma 120.00
loop_
_atom_site_label
_atom_site_type_symbol
_atom_site_fract_x
_atom_site_fract_y
_atom_site_fract_z
Sm1 Sm 0.0000 0.0000 0.0000
Ho1 Ho 0.3333 0.6667 0.6593
In1 In 0.3333 0.6667 0.1802
```

Output
Formation energy, eV/atom: -0.2080

The following is a DFT calculation (PBE-GGA) of a geometry-optimized AlSI2N structure.

Geometry as CIF:
```
data_AlSI2N
_symmetry_space_group_name_H-M 'P 4/m m m'
_symmetry_Int_Tables_number 123
_symmetry_space_group_name_Hall '-P 4 2'
_cell_length_a 5.775
_cell_length_b 5.775
_cell_length_c 3.488
_cell_angle_alpha 90.00
_cell_angle_beta 90.00
_cell_angle_gamma 90.00
loop_
_atom_site_label
_atom_site_type_symbol
_atom_site_fract_x
_atom_site_fract_y
_atom_site_fract_z
Al1 Al 0.000 0.000 0.000
S1 S 0.500 0.500 0.500
I1 I 0.000 0.500 0.000
N1 N 0.000 0.000 0.500
```

Output
Uncorrected formation energy, eV/atom: 0.5848

The following is a DFT calculation (PBE-GGA) of a geometry-optimized Ti2PS structure.

Geometry as CIF:
```
data_Ti2PS
_symmetry_space_group_name_H-M 'R -3 m'
_symmetry_Int_Tables_number 166
_symmetry_space_group_name_Hall '-R 3 2"'
_cell_length_a 3.5329
_cell_length_b 3.5329
_cell_length_c 17.4711
_cell_angle_alpha 90.00
_cell_angle_beta 90.00
_cell_angle_gamma 120.00
loop_
_atom_site_label
_atom_site_type_symbol
_atom_site_fract_x
_atom_site_fract_y
_atom_site_fract_z
Ti1 Ti 0.0000 0.0000 0.2403
P1 P 0.0000 0.0000 0.5000
S1 S 0.0000 0.0000 0.0000
```

Output
Uncorrected formation energy, eV/atom: -1.1887

The following is a DFT calculation (PBE-GGA) of a geometry-optimized HoGa4Ru3 structure.

Geometry as CIF:
```
data_HoGa4Ru3
_symmetry_space_group_name_H-M 'P m m a'
_symmetry_Int_Tables_number 51
_symmetry_space_group_name_Hall '-P 2a 2a'
_cell_length_a 8.781
_cell_length_b 6.515
_cell_length_c 4.412
_cell_angle_alpha 90.00
_cell_angle_beta 90.00
_cell_angle_gamma 90.00
loop_
_atom_site_label
_atom_site_type_symbol
_atom_site_fract_x
_atom_site_fract_y
_atom_site_fract_z
Ho1 Ho 0.000 0.000 0.000
Ga1 Ga 0.000 0.284 0.500
Ga2 Ga 0.250 0.285 0.009
Ru1 Ru 0.000 0.500 0.000
Ru2 Ru 0.250 0.000 0.467
Ru3 Ru 0.250 0.500 0.511
```

Output
Formation energy, eV/atom: -0.3443

The following is a DFT calculation (PBE-GGA) of a geometry-optimized Mg2TeOs structure.

Geometry as CIF:
```
data_Mg2TeOs
_symmetry_space_group_name_H-M 'R -3 m'
_symmetry_Int_Tables_number 166
_symmetry_space_group_name_Hall '-R 3 2"'
_cell_length_a 3.1848
_cell_length_b 3.1848
_cell_length_c 27.4993
_cell_angle_alpha 90.00
_cell_angle_beta 90.00
_cell_angle_gamma 120.00
loop_
_atom_site_label
_atom_site_type_symbol
_atom_site_fract_x
_atom_site_fract_y
_atom_site_fract_z
Mg1 Mg 0.0000 0.0000 0.2377
Te1 Te 0.0000 0.0000 0.0000
Os1 Os 0.0000 0.0000 0.5000
```

Output
Uncorrected formation energy, eV/atom: 0.2874

The following is a DFT calculation (PBE-GGA) of a geometry-optimized ScTiPb2Se structure.

Geometry as CIF:
```
data_ScTiPb2Se
_symmetry_space_group_name_H-M 'P 4/m m m'
_symmetry_Int_Tables_number 123
_symmetry_space_group_name_Hall '-P 4 2'
_cell_length_a 5.595
_cell_length_b 5.595
_cell_length_c 4.679
_cell_angle_alpha 90.00
_cell_angle_beta 90.00
_cell_angle_gamma 90.00
loop_
_atom_site_label
_atom_site_type_symbol
_atom_site_fract_x
_atom_site_fract_y
_atom_site_fract_z
Sc1 Sc 0.000 0.000 0.000
Ti1 Ti 0.000 0.000 0.500
Pb1 Pb 0.000 0.500 0.000
Se1 Se 0.500 0.500 0.500
```

Output
Uncorrected formation energy, eV/atom: 0.6765

The following is a DFT calculation (PBE-GGA) of a geometry-optimized HoBeSi structure.

Geometry as CIF:
```
data_HoBeSi
_symmetry_space_group_name_H-M 'P -6 m 2'
_symmetry_Int_Tables_number 187
_symmetry_space_group_name_Hall 'P -6 2'
_cell_length_a 3.8601
_cell_length_b 3.8601
_cell_length_c 4.0072
_cell_angle_alpha 90.00
_cell_angle_beta 90.00
_cell_angle_gamma 120.00
loop_
_atom_site_label
_atom_site_type_symbol
_atom_site_fract_x
_atom_site_fract_y
_atom_site_fract_z
Ho1 Ho 0.0000 0.0000 0.0000
Be1 Be 0.3333 0.6667 0.5000
Si1 Si 0.6667 0.3333 0.5000
```

Output
Uncorrected formation energy, eV/atom: -0.6560

The following is a DFT calculation (PBE-GGA) of a geometry-optimized PaNi2Rh structure.

Geometry as CIF:
```
data_PaNi2Rh
_symmetry_space_group_name_H-M 'F m -3 m'
_symmetry_Int_Tables_number 225
_symmetry_space_group_name_Hall '-F 4 2 3'
_cell_length_a 6.281
_cell_length_b 6.281
_cell_length_c 6.281
_cell_angle_alpha 90.00
_cell_angle_beta 90.00
_cell_angle_gamma 90.00
loop_
_atom_site_label
_atom_site_type_symbol
_atom_site_fract_x
_atom_site_fract_y
_atom_site_fract_z
Pa1 Pa 0.000 0.000 0.000
Ni1 Ni 0.250 0.250 0.250
Rh1 Rh 0.000 0.000 0.500
```

Output
Formation energy, eV/atom: -0.3820

The following is a DFT calculation (PBE-GGA) of a geometry-optimized AcGa3Co3 structure.

Geometry as CIF:
```
data_AcGa3Co3
_symmetry_space_group_name_H-M 'R -3'
_symmetry_Int_Tables_number 148
_symmetry_space_group_name_Hall '-R 3'
_cell_length_a 6.6140
_cell_length_b 6.6140
_cell_length_c 21.2896
_cell_angle_alpha 90.00
_cell_angle_beta 90.00
_cell_angle_gamma 120.00
loop_
_atom_site_label
_atom_site_type_symbol
_atom_site_fract_x
_atom_site_fract_y
_atom_site_fract_z
Ac1 Ac 0.0000 0.0000 0.1656
Ga1 Ga 0.0534 0.6049 0.0574
Co1 Co 0.0215 0.7894 0.9541
```

Output
Formation energy, eV/atom: -0.1020

The following is a DFT calculation (PBE-GGA) of a geometry-optimized BaAcGaSe4 structure.

Geometry as CIF:
```
data_BaAcGaSe4
_symmetry_space_group_name_H-M 'P 1 21/m 1'
_symmetry_Int_Tables_number 11
_symmetry_space_group_name_Hall '-P 2yb'
_cell_length_a 7.110
_cell_length_b 7.098
_cell_length_c 9.000
_cell_angle_alpha 90.00
_cell_angle_beta 107.70
_cell_angle_gamma 90.00
loop_
_atom_site_label
_atom_site_type_symbol
_atom_site_fract_x
_atom_site_fract_y
_atom_site_fract_z
Ba1 Ba 0.240 0.250 0.435
Ac1 Ac 0.267 0.250 0.943
Ga1 Ga 0.277 0.750 0.191
Se1 Se 0.083 0.750 0.369
Se2 Se 0.086 0.750 0.916
Se3 Se 0.493 0.511 0.759
```

Output
Uncorrected formation energy, eV/atom: -1.5629

The following is a DFT calculation (PBE-GGA) of a geometry-optimized Sc3Si3Ru structure.

Geometry as CIF:
```
data_Sc3Si3Ru
_symmetry_space_group_name_H-M 'P n m a'
_symmetry_Int_Tables_number 62
_symmetry_space_group_name_Hall '-P 2ac 2n'
_cell_length_a 11.710
_cell_length_b 4.000
_cell_length_c 10.287
_cell_angle_alpha 90.00
_cell_angle_beta 90.00
_cell_angle_gamma 90.00
loop_
_atom_site_label
_atom_site_type_symbol
_atom_site_fract_x
_atom_site_fract_y
_atom_site_fract_z
Sc1 Sc 0.019 0.250 0.123
Sc2 Sc 0.104 0.250 0.422
Sc3 Sc 0.202 0.750 0.661
Si1 Si 0.045 0.250 0.694
Si2 Si 0.157 0.750 0.252
Si3 Si 0.178 0.750 0.015
Ru1 Ru 0.177 0.250 0.891
```

Output
Uncorrected formation energy, eV/atom: -0.8838